# 1
A relaxed structure of LaPmHfN3, computed with PBE.

a = 6.6922 Å, b = 3.4598 Å, c = 10.0553 Å
α = 90.00°, β = 93.09°, γ = 90.00°
Closest atoms and distances in Å follow each position.
Space group P2_1/m (No. 11)
Symmetry-distinct sites (fractional):
La: 0.1915 0.2500 0.2325  4 N 2.45-2.70
Pm: 0.3370 0.7500 0.8850  5 N 2.36-2.57
Hf: 0.1631 0.2500 0.5798  4 N 2.06-2.14
N: 0.1195 0.2500 0.7807  1 Hf 2.06
N: 0.1539 0.7500 0.4605  3 Hf 2.10-2.14
N: 0.3796 0.7500 0.1197  3 Pm 2.36-2.57, 2 La 2.45

Output
Crystal system = monoclinic

---

# 2
A relaxed structure of W2C, computed with PBE.

a = 2.7572 Å, b = 2.7572 Å, c = 9.7657 Å
α = 90.00°, β = 90.00°, γ = 90.00°
Closest atoms and distances in Å follow each position.
Space group I4/mmm (No. 139)
Symmetry-distinct sites (fractional):
W: 0.0000 0.0000 0.1341  4 C 2.35, 1 W 2.62
C: 0.0000 0.0000 0.5000  8 W 2.35

Output
Crystal system = tetragonal

---

# 3
A relaxed structure of MgAl2Au, computed with PBE.

a = 4.1305 Å, b = 4.1305 Å, c = 8.1800 Å
α = 90.00°, β = 90.00°, γ = 90.00°
Closest atoms and distances in Å follow each position.
Space group I-4m2 (No. 119)
Symmetry-distinct sites (fractional):
Mg: 0.0000 0.0000 0.0000  8 Al 2.91-2.92, 4 Au 2.91
Al: 0.0000 0.0000 0.5000  4 Al 2.91, 4 Au 2.91, 4 Mg 2.92
Al: 0.0000 0.5000 0.7500  4 Mg 2.91, 4 Al 2.91, 4 Au 2.92
Au: 0.0000 0.5000 0.2500  4 Mg 2.91, 8 Al 2.91-2.92

Output
Crystal system = tetragonal

---

# 4
A relaxed structure of ZrScBe2, computed with PBE.

a = 4.4612 Å, b = 4.4612 Å, c = 3.1848 Å
α = 90.00°, β = 90.00°, γ = 90.00°
Closest atoms and distances in Å follow each position.
Space group P4/mmm (No. 123)
Symmetry-distinct sites (fractional):
Zr: 0.0000 0.0000 0.0000  8 Be 2.74
Sc: 0.5000 0.5000 0.0000  8 Be 2.74
Be: 0.0000 0.5000 0.5000  4 Sc 2.74, 4 Zr 2.74

Output
Crystal system = tetragonal
Energy above the most stable polymorph in this dataset = 0 meV per atom

---

# 5
A relaxed structure of PaHIr, computed with PBE.

a = 3.8577 Å, b = 3.8577 Å, c = 7.0287 Å
α = 90.00°, β = 90.00°, γ = 90.00°
Closest atoms and distances in Å follow each position.
Space group I4mm (No. 107)
Symmetry-distinct sites (fractional):
Pa: 0.0000 0.0000 0.0000  1 H 2.17
H: 0.0000 0.0000 0.6907  1 Ir 1.64
Ir: 0.0000 0.0000 0.4575  1 H 1.64

Output
Crystal system = tetragonal
Energy above the most stable polymorph in this dataset = 174 meV per atom

---

# 6
A relaxed structure of K3HoTm2S6, computed with PBE.

a = 6.9445 Å, b = 12.0282 Å, c = 7.7173 Å
α = 90.00°, β = 107.46°, γ = 90.00°
Closest atoms and distances in Å follow each position.
Space group C2/m (No. 12)
Symmetry-distinct sites (fractional):
K: 0.0000 0.0000 0.0000  6 S 3.19-3.21
K: 0.0000 0.3335 0.0000  6 S 3.19-3.21
Ho: 0.0000 0.5000 0.5000  6 S 2.76
Tm: 0.0000 0.1667 0.5000  6 S 2.74
S: 0.2312 0.0000 0.6999  2 Tm 2.74, 1 Ho 2.76
S: 0.2344 0.3323 0.6998  2 Tm 2.74, 1 Ho 2.76

Output
Crystal system = monoclinic

---

Values for final energy, eV per atom, ordered as above
-8.68, -11.13, -3.30, -5.65, -7.63, -5.35
Values for volume, Å³ per cell, ordered as above
232, 74, 140, 63, 105, 615